VASP calculation (PBE) on an optimized crystal structure of Ho4CdPd2Au.

Calculated values
Calculated total energy   -38.75 eV per formula unit

Lattice parameters (Å, degrees): 5.0443 5.0443 24.8121 90.00 90.00 120.00
Space group R-3m (No. 166, hexagonal axes)
One atom of each set of equivalent atoms:
1 Ho 0.0000 0.0000 0.1217 x6
2 Ho 0.0000 0.0000 0.3722 x6
3 Cd 0.0000 0.0000 0.5000 x3
4 Pd 0.0000 0.0000 0.2439 x6
5 Au 0.0000 0.0000 0.0000 x3


VASP calculation (PBE) on an optimized crystal structure of BaY2Ga6.

Calculated values
Calculated total energy   -37.73 eV per formula unit
Energy above the lowest structure with this stoichiometry   0 meV/atom

Lattice parameters (Å, degrees): 7.4709 7.4709 4.4136 90.00 90.00 120.00
Space group P6/mmm (No. 191)
One atom of each set of equivalent atoms:
1 Ba 0.0000 0.0000 0.0000 x1
2 Y 0.3333 0.6667 0.0000 x2
3 Ga 0.0000 0.3390 0.5000 x6


VASP calculation (PBE) on an optimized crystal structure of LuAl2Pd.

Calculated values
Calculated total energy   -18.53 eV per formula unit

Lattice parameters (Å, degrees): 3.2566 3.2566 25.6825 90.00 90.00 120.00
Space group R-3m (No. 166, hexagonal axes)
One atom of each set of equivalent atoms:
1 Lu 0.0000 0.0000 0.0000 x3
2 Al 0.0000 0.0000 0.2371 x6
3 Pd 0.0000 0.0000 0.5000 x3